# Hf2NiF11 (GGA+U, optimized geometry)
# Final energy   -172.73 eV/cell
# Symmetry   Ibam (72)
# Calculated volume   13.883 Å³/atom
# Size of the total moment   3.09 μB per formula unit
data_Hf2NiF11
_chemical_formula_sum 'Hf4 Ni2 F22'
_symmetry_space_group_name_H-M 'P 1'
_symmetry_Int_Tables_number 1
_symmetry_space_group_name_Hall 'P 1'
_cell_length_a 8.0514
_cell_length_b 8.0514
_cell_length_c 8.0514
_cell_angle_alpha 121.06
_cell_angle_beta 106.36
_cell_angle_gamma 101.68
loop_
_atom_site_label
_atom_site_type_symbol
_atom_site_fract_x
_atom_site_fract_y
_atom_site_fract_z
Hf1 Hf 0.1923 0.1164 0.3087
Hf2 Hf 0.3077 0.6164 0.9241
Hf3 Hf 0.6923 0.3836 0.0759
Hf4 Hf 0.8077 0.8836 0.6913
Ni1 Ni 0.2500 0.7500 0.5000
Ni2 Ni 0.7500 0.2500 0.5000
F1 F 0.0000 0.0000 0.0000
F2 F 0.0029 0.5501 0.2925
F3 F 0.0459 0.9442 0.6767
F4 F 0.2213 0.8591 0.0804
F5 F 0.2326 0.5558 0.1017
F6 F 0.2424 0.9499 0.4528
F7 F 0.2576 0.7104 0.7075
F8 F 0.2674 0.3692 0.3233
F9 F 0.2787 0.3591 0.6378
F10 F 0.4541 0.1308 0.8983
F11 F 0.4971 0.7896 0.5472
F12 F 0.5000 0.5000 0.0000
F13 F 0.5029 0.2104 0.4528
F14 F 0.5459 0.8692 0.1017
F15 F 0.7213 0.6409 0.3622
F16 F 0.7326 0.6308 0.6767
F17 F 0.7424 0.2896 0.2925
F18 F 0.7576 0.0501 0.5472
F19 F 0.7674 0.4442 0.8983
F20 F 0.7787 0.1409 0.9196
F21 F 0.9541 0.0558 0.3233
F22 F 0.9971 0.4499 0.7075